YAuO | GGA-PBE | relaxed

Lattice parameters (Å, degrees): 3.8942 3.8943 7.2413 90.00 90.00 90.00
Last column: nearest neighbours and their distance in Å.
Sites, in units of the cell vectors:
Y (0.2500, 0.7500, 0.3458)  4 O 2.24
Y (0.7500, 0.2500, 0.6542)  4 O 2.24
Au (0.2500, 0.7500, 0.9226)  4 Au 2.97, 1 Y 3.06
Au (0.7500, 0.2500, 0.0774)  4 Au 2.97, 1 Y 3.06
O (0.7500, 0.7500, 0.5000)  4 Y 2.24
O (0.2500, 0.2500, 0.5000)  4 Y 2.24

Results
DOS(E_F): 1.0 states/eV/f.u.
formation energy (no corrections): -2227.7 meV per atom
relative energy among the computed polymorphs: 0.00 eV per formula unit